## CdNiMoAs (GGA-PBE)

Data for crystalline CdNiMoAs at its relaxed geometry.

a = 6.2710 Å, b = 6.2710 Å, c = 6.2710 Å
α = 90.00°, β = 90.00°, γ = 90.00°
Space group F-43m (No. 216)
Unique sites:
Cd: 0.0000 0.0000 0.0000 x4
Ni: 0.2500 0.2500 0.7500 x4
Mo: 0.2500 0.2500 0.2500 x4
As: 0.0000 0.0000 0.5000 x4

## Properties
DFT total energy, eV per atom: -5.136
Total moment, μB per formula unit: 0.0

***

## Ta4CdAsN2 (GGA-PBE)

Data for crystalline Ta4CdAsN2 at its relaxed geometry.

a = 3.2209 Å, b = 3.2209 Å, c = 13.1619 Å
α = 90.00°, β = 90.00°, γ = 120.00°
Space group P-6m2 (No. 187)
Unique sites:
Ta: 0.0000 0.0000 0.1439 x2
Ta: 0.3333 0.6667 0.3176 x2
Cd: 0.0000 0.0000 0.5000 x1
As: 0.3333 0.6667 0.0000 x1
N: 0.6667 0.3333 0.2358 x2

## Properties
DFT total energy, eV per atom: -9.178
Total moment, μB per formula unit: 0.0

***

## Y4CdAsN2 (GGA-PBE)

Data for crystalline Y4CdAsN2 at its relaxed geometry.

a = 3.5802 Å, b = 3.5802 Å, c = 14.5544 Å
α = 90.00°, β = 90.00°, γ = 120.00°
Space group P-6m2 (No. 187)
Unique sites:
Y: 0.0000 0.0000 0.1401 x2
Y: 0.3333 0.6667 0.3254 x2
Cd: 0.0000 0.0000 0.5000 x1
As: 0.3333 0.6667 0.0000 x1
N: 0.6667 0.3333 0.2321 x2

## Properties
DFT total energy, eV per atom: -7.134
Total moment, μB per formula unit: 0.0

***

## Y4CdAsN2 (GGA-PBE)

Data for crystalline Y4CdAsN2 at its relaxed geometry.

a = 3.5801 Å, b = 3.5801 Å, c = 14.5547 Å
α = 90.00°, β = 90.00°, γ = 120.00°
Space group P-6m2 (No. 187)
Unique sites:
Y: 0.0000 0.0000 0.1401 x2
Y: 0.6667 0.3333 0.3254 x2
Cd: 0.0000 0.0000 0.5000 x1
As: 0.6667 0.3333 0.0000 x1
N: 0.3333 0.6667 0.2321 x2

## Properties
DFT total energy, eV per atom: -7.134
Total moment, μB per formula unit: 0.0

***

## Na4CdAs2 (GGA-PBE)

Data for crystalline Na4CdAs2 at its relaxed geometry.

a = 6.5737 Å, b = 11.2370 Å, c = 4.8015 Å
α = 90.00°, β = 90.22°, γ = 90.00°
Space group C2/m (No. 12)
Unique sites:
Na: 0.0000 0.2166 0.0000 x4
Na: 0.2320 0.0000 0.4979 x4
Cd: 0.0000 0.5000 0.0000 x2
As: 0.2500 0.2500 0.5000 x4

## Properties
DFT total energy, eV per atom: -2.302

***

## NaCdAsO4 (GGA-PBE)

Data for crystalline NaCdAsO4 at its relaxed geometry.

a = 5.2583 Å, b = 5.2583 Å, c = 26.6574 Å
α = 90.00°, β = 90.00°, γ = 120.00°
Space group R-3 (No. 148, hexagonal axes)
Unique sites:
Na: 0.0000 0.0000 0.2164 x6
Cd: 0.0000 0.0000 0.3433 x6
As: 0.0000 0.0000 0.0735 x6
O: 0.0000 0.0000 0.1360 x6
O: 0.0059 0.6327 0.6148 x18

## Properties
DFT total energy, eV per atom: -5.201

***

- Which of these has the highest DFT total energy?
  Na4CdAs2

***

- The lowest DFT total energy belongs to which entry?
  Ta4CdAsN2

***

- Look up the DFT total energy of the fourth one.
  -7.134 eV per atom

***

Repeat the second record exactly.
## Ta4CdAsN2 (GGA-PBE)

Data for crystalline Ta4CdAsN2 at its relaxed geometry.

a = 3.2209 Å, b = 3.2209 Å, c = 13.1619 Å
α = 90.00°, β = 90.00°, γ = 120.00°
Space group P-6m2 (No. 187)
Unique sites:
Ta: 0.0000 0.0000 0.1439 x2
Ta: 0.3333 0.6667 0.3176 x2
Cd: 0.0000 0.0000 0.5000 x1
As: 0.3333 0.6667 0.0000 x1
N: 0.6667 0.3333 0.2358 x2

## Properties
DFT total energy, eV per atom: -9.178
Total moment, μB per formula unit: 0.0